{"formula": "Nd6DyEr2Tm", "functional": "PBE", "state": "relaxed", "lattice_angstrom": [[-7.783, 3.746, -4.189], [-3.596, -8.157, 0.715], [-0.515, 5.397, 7.112]], "species": ["Nd", "Nd", "Nd", "Nd", "Nd", "Nd", "Nd", "Nd", "Nd", "Nd", "Nd", "Nd", "Dy", "Dy", "Er", "Er", "Er", "Er", "Tm", "Tm"], "frac_coords": [[0.054, 0.117, 0.764], [0.446, 0.236, 0.883], [0.946, 0.883, 0.236], [0.554, 0.764, 0.117], [0.312, 0.993, 0.437], [0.188, 0.563, 0.007], [0.688, 0.007, 0.563], [0.812, 0.437, 0.993], [0.117, 0.708, 0.489], [0.383, 0.511, 0.292], [0.883, 0.292, 0.511], [0.617, 0.489, 0.708], [0.250, 0.972, 0.028], [0.750, 0.028, 0.972], [0.453, 0.798, 0.701], [0.047, 0.299, 0.202], [0.547, 0.202, 0.299], [0.953, 0.701, 0.798], [0.250, 0.412, 0.588], [0.750, 0.588, 0.412]], "dos_ef_per_ev_cell": 28.75, "vol_a3_per_atom": 33.7, "e_tot_ev_per_atom": -4.564, "sg": "C2/c, No. 15"}